LiH6N after structural relaxation. Source: Alexandria via LeMat-Bulk, functional PBE.

Geometry as POSCAR:
```
LiH6N
1.0
1.637 0.945 4.665
-1.637 0.945 4.665
0.000 -1.891 4.665
Li H N
1 6 1
Direct
0.000 0.000 0.000 Li
0.042 0.643 0.643 H
0.357 0.357 0.958 H
0.357 0.958 0.357 H
0.643 0.042 0.643 H
0.643 0.643 0.042 H
0.958 0.357 0.357 H
0.500 0.500 0.500 N
```

Properties
- E_tot (eV/cell) = -25.9
- spin magnetization (μB per atom) = 0.000

---

Li2HN after structural relaxation. Source: Alexandria via LeMat-Bulk, functional PBE.

Geometry as POSCAR:
```
Li2HN
1.0
-2.700 2.700 2.138
2.700 -2.700 2.138
2.700 2.700 -2.138
Li H N
4 2 2
Direct
0.101 0.625 0.976 Li
0.375 0.351 0.476 Li
0.649 0.125 0.024 Li
0.875 0.899 0.524 Li
0.000 0.000 0.000 H
0.750 0.250 0.500 H
0.250 0.750 0.500 N
0.500 0.500 0.000 N
```

Properties
- E_tot (eV/cell) = -27.8
- relative energy among the computed polymorphs (meV/atom) = 902
- spin magnetization (μB per atom) = 0.168